Computed, not measured: a relaxed CuNi2Pd7 crystal at the PBE level of DFT.

```
CuNi2Pd7
1.0
3.615 -6.118 0.000
3.615 6.118 0.000
0.000 0.000 4.108
Cu Ni Pd
1 2 7
Direct
0.000 0.000 0.000 Cu
0.304 0.696 0.500 Ni
0.696 0.304 0.500 Ni
0.074 0.301 0.500 Pd
0.207 0.793 0.000 Pd
0.301 0.074 0.500 Pd
0.500 0.500 0.500 Pd
0.699 0.926 0.500 Pd
0.793 0.207 0.000 Pd
0.926 0.699 0.500 Pd
```

## Properties
The value obtained for the formation energy is 0.52 eV/atom. The value obtained for the spin magnetization is 0.39 μB/atom. As for the space group: Cmmm.

=====

Computed, not measured: a relaxed Cu3Ni2Pd8 crystal at the PBE level of DFT.

```
Cu3Ni2Pd8
1.0
4.045 -6.322 0.000
4.045 6.322 0.000
0.000 0.000 3.939
Cu Ni Pd
3 2 8
Direct
0.000 0.000 0.000 Cu
0.230 0.230 0.500 Cu
0.770 0.770 0.500 Cu
0.258 0.742 0.000 Ni
0.742 0.258 0.000 Ni
0.118 0.382 0.000 Pd
0.143 0.857 0.500 Pd
0.382 0.118 0.000 Pd
0.386 0.614 0.500 Pd
0.614 0.386 0.500 Pd
0.618 0.882 0.000 Pd
0.857 0.143 0.500 Pd
0.882 0.618 0.000 Pd
```

## Properties
The value obtained for the formation energy is 0.17 eV/atom. The value obtained for the spin magnetization is 0.28 μB/atom. As for the space group: Cmmm.

=====

Computed, not measured: a relaxed CuNi2Pd crystal at the PBE level of DFT.

```
CuNi2Pd
1.0
3.656 0.000 0.000
0.000 3.656 0.000
0.000 0.000 3.699
Cu Ni Pd
1 2 1
Direct
0.000 0.000 0.000 Cu
0.000 0.500 0.500 Ni
0.500 0.000 0.500 Ni
0.500 0.500 0.000 Pd
```

## Properties
The value obtained for the formation energy is 0.03 eV/atom. The value obtained for the spin magnetization is 0.34 μB/atom. As for the space group: P4/mmm. The calculation puts the offset from the most stable computed form at 0 meV per atom.

=====

Q: What is the spin magnetization in the second record?
A: 0.28 μB/atom